Entry 1:
# Rb6Sb2Pd

Rb6Sb2Pd after structural relaxation (PBE, the Alexandria database).

Output
- Space-group type: No. 166
- ΔE_f (raw): -0.307 eV/atom
- Fermi-level density of states: 3.9 states/eV/cell

Cell lengths 11.775, 11.775, 11.775 Å; angles 31.10, 31.10, 31.10 degrees
Fractional coordinates of all 9 atoms:
Rb  0.080  0.080  0.080
Rb  0.195  0.195  0.195
Rb  0.308  0.308  0.308
Rb  0.692  0.692  0.692
Rb  0.805  0.805  0.805
Rb  0.920  0.920  0.920
Sb  0.419  0.419  0.419
Sb  0.581  0.581  0.581
Pd  0.500  0.500  0.500

Entry 2:
# CuNiSn3

CuNiSn3 after structural relaxation (PBE, the Alexandria database).

Output
- Space-group type: No. 221
- Formation energy from the elements: 7.4 kcal/mol of atoms
- Fermi-level density of states: 2.7 states/eV/cell

Cell lengths 4.937, 4.937, 4.937 Å; angles 90.00, 90.00, 90.00 degrees
Fractional coordinates of all 5 atoms:
Cu  0.000  0.000  0.000
Ni  0.500  0.500  0.500
Sn  0.000  0.500  0.500
Sn  0.500  0.000  0.500
Sn  0.500  0.500  0.000